# Cs2Mo3P5O19 PBE+U relaxed
data_Cs2Mo3P5O19
_space_group_name_H-M_alt 'P 1'
_space_group_IT_number 1
_cell_length_a 6.597
_cell_length_b 14.799
_cell_length_c 9.926
_cell_angle_alpha 90.00
_cell_angle_beta 105.76
_cell_angle_gamma 90.00
loop_
_space_group_symop_operation_xyz
'x,y,z'
loop_
_atom_site_label
_atom_site_type_symbol
_atom_site_fract_x
_atom_site_fract_y
_atom_site_fract_z
Cs1 Cs 0.000 0.000 0.000
Cs2 Cs 0.000 0.500 0.000
Cs3 Cs 0.047 0.250 0.363
Cs4 Cs 0.953 0.750 0.637
Mo1 Mo 0.283 0.626 0.355
Mo2 Mo 0.283 0.874 0.355
Mo3 Mo 0.378 0.250 0.033
Mo4 Mo 0.622 0.750 0.967
Mo5 Mo 0.717 0.126 0.645
Mo6 Mo 0.717 0.374 0.645
P1 P 0.163 0.750 0.052
P2 P 0.265 0.101 0.735
P3 P 0.265 0.399 0.735
P4 P 0.490 0.566 0.710
P5 P 0.490 0.934 0.710
P6 P 0.510 0.066 0.290
P7 P 0.510 0.434 0.290
P8 P 0.735 0.601 0.265
P9 P 0.735 0.899 0.265
P10 P 0.837 0.250 0.948
O1 O 0.032 0.097 0.653
O2 O 0.032 0.403 0.653
O3 O 0.064 0.250 0.044
O4 O 0.205 0.663 0.145
O5 O 0.205 0.837 0.145
O6 O 0.267 0.750 0.396
O7 O 0.299 0.750 0.949
O8 O 0.303 0.148 0.875
O9 O 0.303 0.352 0.875
O10 O 0.318 0.007 0.296
O11 O 0.318 0.493 0.296
O12 O 0.341 0.503 0.778
O13 O 0.341 0.997 0.778
O14 O 0.352 0.592 0.566
O15 O 0.352 0.908 0.566
O16 O 0.393 0.136 0.637
O17 O 0.393 0.364 0.637
O18 O 0.440 0.145 0.194
O19 O 0.440 0.355 0.194
O20 O 0.560 0.645 0.806
O21 O 0.560 0.855 0.806
O22 O 0.607 0.636 0.363
O23 O 0.607 0.864 0.363
O24 O 0.648 0.092 0.434
O25 O 0.648 0.408 0.434
O26 O 0.659 0.003 0.222
O27 O 0.659 0.497 0.222
O28 O 0.682 0.507 0.704
O29 O 0.682 0.993 0.704
O30 O 0.697 0.648 0.125
O31 O 0.697 0.852 0.125
O32 O 0.701 0.250 0.051
O33 O 0.733 0.250 0.604
O34 O 0.795 0.163 0.855
O35 O 0.795 0.337 0.855
O36 O 0.936 0.750 0.956
O37 O 0.968 0.597 0.347
O38 O 0.968 0.903 0.347
# VASP energy   -7.1094 eV/atom
# SG   P2_1/m, No. 11